DFT (PBE) results for a relaxed TmZn2B2O6 crystal.

Its space-group type is P-3. The total energy is -6.757 eV per atom. For the mass density, the calculation gives 4.59 Mg/m³. The value obtained for the uncorrected formation energy is -2.201 eV/atom.

a b c (Å): 4.982 4.982 7.029
angles (deg): 90.00 90.00 120.00
Element x y z (fractional)
O 0.941 0.325 0.195
B 0.333 0.667 0.801
O 0.059 0.675 0.805
Zn 0.333 0.667 0.305
O 0.675 0.616 0.195
O 0.325 0.384 0.805
O 0.384 0.059 0.195
B 0.667 0.333 0.199
O 0.616 0.941 0.805
Tm 0.000 0.000 0.000
Zn 0.667 0.333 0.695